Entry 1:
VH2I6 GGA-PBE optimized geometry; raw total energy = -2.98 eV per atom; symmetry = C2/c; density = 3.7 g/cm3
1.0
4.348 2.241 4.738
3.394 13.033 4.923
-1.492 3.941 13.706
H I V
4 12 2
Direct
0.029 0.663 0.620 H
0.529 0.620 0.663 H
0.971 0.337 0.380 H
0.471 0.380 0.337 H
0.732 0.538 0.736 I
0.232 0.736 0.538 I
0.268 0.462 0.264 I
0.186 0.838 0.976 I
0.314 0.024 0.162 I
0.716 0.675 0.099 I
0.784 0.901 0.325 I
0.216 0.099 0.675 I
0.814 0.162 0.024 I
0.686 0.976 0.838 I
0.284 0.325 0.901 I
0.768 0.264 0.462 I
0.750 0.093 0.907 V
0.250 0.907 0.093 V


Entry 2:
VH2I4 GGA-PBE optimized geometry; raw total energy = -3.24 eV per atom; symmetry = P-1; density = 4.3 g/cm3
1.0
3.911 -0.055 0.019
-0.045 6.815 -3.683
-0.033 -3.883 10.310
I H V
4 2 1
Direct
0.499 0.570 0.210 I
0.501 0.430 0.790 I
0.982 0.942 0.752 I
0.018 0.058 0.248 I
0.519 0.069 0.253 H
0.481 0.931 0.747 H
0.000 0.500 0.000 V


Entry 3:
VHI2 GGA-PBE optimized geometry; raw total energy = -3.35 eV per atom; symmetry = Fm-3m; density = 5.9 g/cm3
1.0
-3.123 -3.832 0.134
-4.338 0.261 -2.361
-0.769 -2.707 -4.067
H I V
1 2 1
Direct
0.000 0.000 0.000 H
0.250 0.250 0.250 I
0.750 0.750 0.750 I
0.500 0.500 0.500 V


Entry 4:
HWI2 GGA-PBE optimized geometry; raw total energy = -3.72 eV per atom; symmetry = I-42d; E above lowest polymorph = 0.0000 eV per atom; density = 7.8 g/cm3
1.0
5.969 0.000 0.000
0.000 5.969 0.000
2.984 2.984 5.269
H I W
2 4 2
Direct
0.500 0.500 0.000 H
0.250 0.750 0.500 H
0.583 0.125 0.250 I
0.167 0.625 0.250 I
0.375 0.417 0.750 I
0.875 0.833 0.750 I
0.750 0.250 0.500 W
0.000 0.000 0.000 W


Entry 5:
H2WI GGA-PBE optimized geometry; raw total energy = -4.52 eV per atom; symmetry = I-42d; E above lowest polymorph = 0.0000 eV per atom; density = 10.0 g/cm3
1.0
5.876 0.000 0.000
0.000 5.876 0.000
2.938 2.938 3.000
I H W
2 4 2
Direct
0.500 0.500 0.000 I
0.250 0.750 0.500 I
0.006 0.625 0.250 H
0.744 0.125 0.250 H
0.375 0.256 0.750 H
0.875 0.994 0.750 H
0.750 0.250 0.500 W
0.000 0.000 0.000 W


Entry 6:
HWI3 GGA-PBE optimized geometry; raw total energy = -3.32 eV per atom; symmetry = Pm-3m; E above lowest polymorph = 0.0000 eV per atom; density = 5.3 g/cm3
1.0
-1.709 4.160 3.390
-5.255 -0.577 -1.942
-1.087 -3.752 4.057
I W H
3 1 1
Direct
0.000 0.500 0.000 I
0.000 0.000 0.500 I
0.500 0.000 0.000 I
0.000 0.000 0.000 W
0.500 0.500 0.500 H


Entry 7:
HW3I GGA-PBE optimized geometry; raw total energy = -7.40 eV per atom; symmetry = Pm-3m; E above lowest polymorph = 0.0000 eV per atom; density = 15.3 g/cm3
1.0
-1.507 -1.769 -3.486
0.654 -3.798 1.645
-3.855 0.047 1.642
H I W
1 1 3
Direct
0.000 0.000 0.000 H
0.500 0.500 0.500 I
0.000 0.500 0.000 W
0.000 0.000 0.500 W
0.500 0.000 0.000 W


Entry 8:
HWI2 GGA-PBE optimized geometry; raw total energy = -3.69 eV per atom; symmetry = Fm-3m; E above lowest polymorph = 0.0263 eV per atom; density = 9.7 g/cm3
1.0
0.000 3.346 3.346
3.346 0.000 3.346
3.346 3.346 0.000
W I H
1 2 1
Direct
0.500 0.500 0.500 W
0.750 0.750 0.750 I
0.250 0.250 0.250 I
0.000 0.000 0.000 H


Entry 9:
HWI3 GGA-PBE optimized geometry; raw total energy = -2.61 eV per atom; symmetry = Pm-3m; E above lowest polymorph = 0.7138 eV per atom; density = 7.6 g/cm3
1.0
-4.681 1.651 0.297
-1.676 -4.641 -0.613
0.074 -0.678 4.925
I H W
3 1 1
Direct
0.000 0.000 0.500 I
0.500 0.000 0.000 I
0.000 0.500 0.000 I
0.000 0.000 0.000 H
0.500 0.500 0.500 W


Entry 10:
HW3I GGA-PBE optimized geometry; raw total energy = -5.18 eV per atom; symmetry = Pm-3m; E above lowest polymorph = 2.2238 eV per atom; density = 9.6 g/cm3
1.0
4.891 0.000 0.000
0.000 4.891 0.000
0.000 0.000 4.891
H W I
1 3 1
Direct
0.500 0.500 0.500 H
0.500 0.000 0.000 W
0.000 0.500 0.000 W
0.000 0.000 0.500 W
0.000 0.000 0.000 I


Entry 11:
H2WI GGA-PBE optimized geometry; raw total energy = -3.59 eV per atom; symmetry = Fm-3m; E above lowest polymorph = 0.9266 eV per atom; density = 10.6 g/cm3
1.0
0.000 2.905 2.905
2.905 0.000 2.905
2.905 2.905 0.000
W H I
1 2 1
Direct
0.500 0.500 0.500 W
0.250 0.250 0.250 H
0.750 0.750 0.750 H
0.000 0.000 0.000 I


Entry 12:
YH2I4 GGA-PBE optimized geometry; raw total energy = -3.32 eV per atom; symmetry = P-1; density = 3.9 g/cm3
1.0
-3.788 1.361 0.946
-7.015 -6.116 2.264
2.490 -1.212 7.255
H Y I
2 1 4
Direct
0.953 0.176 0.263 H
0.047 0.824 0.737 H
0.000 0.500 0.000 Y
0.610 0.362 0.781 I
0.460 0.171 0.267 I
0.540 0.829 0.733 I
0.390 0.638 0.219 I


Entry 13:
Y2H2I GGA-PBE optimized geometry; raw total energy = -4.82 eV per atom; symmetry = I4/mmm; density = 5.5 g/cm3
1.0
-3.169 1.822 -0.182
-1.711 -3.076 -1.005
-3.669 -2.102 6.015
Y H I
2 2 1
Direct
0.345 0.345 0.310 Y
0.655 0.655 0.690 Y
0.750 0.250 0.500 H
0.250 0.750 0.500 H
0.000 0.000 0.000 I


Entry 14:
Y4HI5 GGA-PBE optimized geometry; raw total energy = -4.65 eV per atom; symmetry = C2/m; density = 5.2 g/cm3
1.0
3.971 0.000 0.000
0.000 8.722 -0.417
-1.985 -1.662 9.263
I H Y
5 1 4
Direct
0.166 0.341 0.331 I
0.500 0.500 0.000 I
0.172 0.828 0.345 I
0.834 0.659 0.669 I
0.828 0.172 0.655 I
0.500 0.000 0.000 H
0.999 0.201 0.998 Y
0.627 0.064 0.255 Y
0.373 0.936 0.745 Y
0.001 0.799 0.002 Y


Entry 15:
Y3HI GGA-PBE optimized geometry; raw total energy = -5.02 eV per atom; symmetry = Pm-3m; E above lowest polymorph = 0.0000 eV per atom; density = 5.5 g/cm3
1.0
-2.318 -3.872 -1.954
3.558 -0.431 -3.368
2.480 -3.001 3.005
Y H I
3 1 1
Direct
0.000 0.000 0.500 Y
0.000 0.500 0.000 Y
0.500 0.000 0.000 Y
0.000 0.000 0.000 H
0.500 0.500 0.500 I


Entry 16:
YZrH2I GGA-PBE optimized geometry; raw total energy = -3.57 eV per atom; symmetry = P4/mmm; density = 4.4 g/cm3
1.0
-2.129 -2.602 2.724
2.121 -4.929 -3.049
3.461 -0.116 2.595
Y Zr H I
1 1 2 1
Direct
0.000 0.500 0.000 Y
0.500 0.500 0.500 Zr
0.500 0.000 0.000 H
0.000 0.000 0.500 H
0.000 0.000 0.000 I


Entry 17:
ZnHI3 GGA-PBE optimized geometry; raw total energy = -2.11 eV per atom; symmetry = P-1; E above lowest polymorph = 0.0000 eV per atom; density = 3.8 g/cm3
1.0
-3.191 2.939 -0.111
0.166 -5.168 -9.040
-4.746 -5.492 6.537
I H Zn
6 2 2
Direct
0.834 0.830 0.212 I
0.212 0.842 0.566 I
0.339 0.397 0.493 I
0.048 0.434 0.190 I
0.503 0.805 0.869 I
0.717 0.409 0.847 I
0.316 0.159 0.052 H
0.235 0.080 0.007 H
0.261 0.713 0.301 Zn
0.290 0.526 0.758 Zn


Entry 18:
ZnHI3 GGA-PBE optimized geometry; raw total energy = -1.47 eV per atom; symmetry = Pm-3m; E above lowest polymorph = 0.6399 eV per atom; density = 4.2 g/cm3
1.0
5.634 0.000 0.000
0.000 5.634 0.000
0.000 0.000 5.634
I H Zn
3 1 1
Direct
0.500 0.000 0.000 I
0.000 0.500 0.000 I
0.000 0.000 0.500 I
0.500 0.500 0.500 H
0.000 0.000 0.000 Zn


Entry 19:
ZnHI2 GGA-PBE optimized geometry; raw total energy = -1.95 eV per atom; symmetry = P2_1/m; density = 4.5 g/cm3
1.0
-1.972 -2.750 -2.583
-6.987 -13.559 19.768
2.537 9.777 -12.344
I H Zn
4 2 2
Direct
0.750 0.056 0.378 I
0.250 0.650 0.494 I
0.250 0.944 0.622 I
0.750 0.350 0.506 I
0.750 0.325 0.040 H
0.250 0.675 0.960 H
0.750 0.987 0.589 Zn
0.250 0.013 0.411 Zn


Entry 20:
ZnHI2 GGA-PBE optimized geometry; raw total energy = -1.33 eV per atom; symmetry = Fm-3m; density = 5.4 g/cm3
1.0
-3.984 -0.933 3.184
-4.452 -1.863 -1.895
-1.411 -4.882 1.024
Zn I H
1 2 1
Direct
0.500 0.500 0.500 Zn
0.750 0.750 0.750 I
0.250 0.250 0.250 I
0.000 0.000 0.000 H